DFT (PBE) results for a relaxed MgZn2Fe crystal.

a b c (Å): 3.801 3.801 9.620
angles (deg): 78.61 78.61 90.00
Last column: magnetic moment on the atom in μB.
Atoms (fractional coordinates):
Mg1 0.250 0.750 0.500  -0.03
Mg2 0.500 0.500 0.000  -0.03
Fe1 0.000 0.000 0.000  2.47
Fe2 0.750 0.250 0.500  2.47
Zn1 0.375 0.349 0.750  -0.02
Zn2 0.099 0.625 0.250  -0.02
Zn3 0.875 0.901 0.750  -0.02
Zn4 0.651 0.125 0.250  -0.02

Values from the calculation:
- DFT total energy: -22.3 eV/cell

DFT (PBE) results for a relaxed MgZn2Fe crystal.

a b c (Å): 4.191 2.779 5.278
angles (deg): 75.54 90.00 90.00
Last column: magnetic moment on the atom in μB.
Atoms (fractional coordinates):
Mg1 0.500 0.799 0.767  -0.02
Zn1 0.000 0.190 0.993  -0.03
Zn2 0.500 0.057 0.270  -0.04
Fe1 0.000 0.454 0.469  2.43

Values from the calculation:
- DFT total energy: -12.3 eV/cell

DFT (PBE) results for a relaxed MgZn2Fe crystal.

a b c (Å): 4.791 4.791 4.791
angles (deg): 132.78 132.78 69.00
Last column: magnetic moment on the atom in μB.
Atoms (fractional coordinates):
Zn1 0.500 0.500 0.000  -0.05
Zn2 0.000 0.000 0.000  -0.05
Fe1 0.250 0.750 0.500  2.16
Mg1 0.750 0.250 0.500  -0.02

Values from the calculation:
- DFT total energy: -12.3 eV/cell

DFT (PBE) results for a relaxed MgZn2Fe crystal.

a b c (Å): 4.894 4.894 4.894
angles (deg): 134.55 134.55 66.22
Last column: magnetic moment on the atom in μB.
Atoms (fractional coordinates):
Fe1 0.500 0.500 0.000  2.15
Mg1 0.750 0.250 0.500  -0.02
Zn1 0.250 0.750 0.500  -0.05
Zn2 0.000 0.000 0.000  -0.07

Values from the calculation:
- DFT total energy: -12.2 eV/cell

DFT (PBE) results for a relaxed MgZn2Fe crystal.

a b c (Å): 5.259 5.259 5.259
angles (deg): 147.23 130.00 61.07
Last column: magnetic moment on the atom in μB.
Atoms (fractional coordinates):
Mg1 0.250 0.750 0.500  -0.03
Zn1 0.523 0.523 0.000  -0.04
Zn2 0.977 0.977 0.000  -0.04
Fe1 0.750 0.250 0.500  2.16

Values from the calculation:
- DFT total energy: -12.2 eV/cell

DFT (PBE) results for a relaxed MgZnFe2 crystal.

a b c (Å): 6.875 6.875 5.498
angles (deg): 51.30 51.30 90.00
Last column: magnetic moment on the atom in μB.
Atoms (fractional coordinates):
Fe1 0.643 0.125 0.250  2.48
Fe2 0.875 0.893 0.750  2.49
Fe3 0.107 0.625 0.250  2.49
Fe4 0.375 0.357 0.750  2.46
Mg1 0.500 0.500 0.000  -0.04
Mg2 0.250 0.750 0.500  -0.04
Zn1 0.000 0.000 0.000  -0.09
Zn2 0.750 0.250 0.500  -0.09

Values from the calculation:
- DFT total energy: -35.6 eV/cell

DFT (PBE) results for a relaxed MgZrZnFe crystal.

a b c (Å): 4.569 4.569 4.569
angles (deg): 60.00 60.00 60.00
Last column: magnetic moment on the atom in μB.
Atoms (fractional coordinates):
Zn1 0.000 0.000 0.000  -0.01
Fe1 0.500 0.500 0.500  1.86
Zr1 0.250 0.250 0.250  -0.30
Mg1 0.750 0.750 0.750  0.00

Values from the calculation:
- DFT total energy: -19.9 eV/cell

DFT (PBE) results for a relaxed MgZr6Fe2 crystal.

a b c (Å): 7.835 7.835 7.835
angles (deg): 103.80 110.04 114.75
Atoms (fractional coordinates):
Zr1 0.889 0.702 0.187
Zr2 0.485 0.298 0.187
Zr3 0.515 0.702 0.813
Zr4 0.694 0.013 0.319
Zr5 0.210 0.769 0.979
Zr6 0.790 0.769 0.560
Zr7 0.210 0.231 0.440
Zr8 0.306 0.987 0.681
Zr9 0.790 0.231 0.021
Zr10 0.111 0.298 0.813
Zr11 0.694 0.375 0.681
Zr12 0.306 0.625 0.319
Fe1 0.668 0.000 0.668
Fe2 0.500 0.631 0.131
Fe3 0.500 0.369 0.869
Fe4 0.332 0.000 0.332
Mg1 0.000 0.500 0.500
Mg2 0.000 0.000 0.000

Values from the calculation:
- DFT total energy: -140.4 eV/cell

DFT (PBE) results for a relaxed MgZrFe crystal.

a b c (Å): 4.602 4.602 2.870
angles (deg): 90.00 90.00 120.00
Last column: magnetic moment on the atom in μB.
Atoms (fractional coordinates):
Fe1 0.000 0.000 0.016  1.75
Mg1 0.667 0.333 0.271  -0.02
Zr1 0.333 0.667 0.713  -0.42

Values from the calculation:
- Offset from the most stable computed form: 5.334 kcal/mol of atoms

DFT (PBE) results for a relaxed Mg2ZrFe9 crystal.

a b c (Å): 4.870 4.870 8.341
angles (deg): 73.03 73.03 60.00
Last column: magnetic moment on the atom in μB.
Atoms (fractional coordinates):
Fe1 0.919 0.414 0.253  1.95
Fe2 0.666 0.666 0.003  2.08
Fe3 0.334 0.334 0.997  2.08
Fe4 0.414 0.919 0.253  1.95
Fe5 0.414 0.414 0.253  1.95
Fe6 0.081 0.586 0.747  1.95
Fe7 0.586 0.081 0.747  1.95
Fe8 0.586 0.586 0.747  1.95
Fe9 0.500 0.500 0.500  1.59
Zr1 0.000 0.000 0.000  -0.40
Mg1 0.857 0.857 0.429  -0.04
Mg2 0.143 0.143 0.571  -0.04

Values from the calculation:
- DFT total energy: -87.8 eV/cell

DFT (PBE) results for a relaxed MgZrFe crystal.

a b c (Å): 4.344 4.344 4.344
angles (deg): 60.00 60.00 60.00
Last column: magnetic moment on the atom in μB.
Atoms (fractional coordinates):
Mg1 0.000 0.000 0.000  0.00
Zr1 0.500 0.500 0.500  -0.04
Fe1 0.750 0.750 0.750  0.10

Values from the calculation:
- Offset from the most stable computed form: 8.892 kcal/mol of atoms

DFT (PBE) results for a relaxed MgZrFe crystal.

a b c (Å): 4.506 4.506 4.506
angles (deg): 60.00 60.00 60.00
Last column: magnetic moment on the atom in μB.
Atoms (fractional coordinates):
Fe1 0.000 0.000 0.000  1.78
Mg1 0.500 0.500 0.500  -0.04
Zr1 0.750 0.750 0.750  -0.72

Values from the calculation:
- Offset from the most stable computed form: 22.448 kcal/mol of atoms

| no. | calculated volume (Å³ per cell) |
| --- | --- |
| 1 | 133 |
| 2 | 60 |
| 3 | 58 |
| 4 | 59 |
| 5 | 60 |
| 6 | 121 |
| 7 | 67 |
| 8 | 367 |
| 9 | 53 |
| 10 | 161 |
| 11 | 58 |
| 12 | 65 |